# Tb12Co6Au

An optimized crystal structure of Tb12Co6Au (PBE, Alexandria via LeMat-Bulk).

The space group is Im-3 (No. 204) and the conventional cell measures 9.628, 9.628 and 9.628 Å, with angles of 90.00, 90.00 and 90.00 degrees. The distinct sites, in fractional coordinates, are Tb at (0.000, 0.194, 0.301), Co at (0.000, 0.386, 0.500) and Au at (0.000, 0.000, 0.000).

The density of states at the Fermi level comes out at 26.44 states/eV per cell. The calculation puts the total magnetic moment at 0.00 μB/f.u. Its volume is 892.6 Å³ per cell. The value obtained for the formation energy is -0.248 eV/atom. Its theoretical density is 9145 kg/m³.